Below is a relaxed structure of Ac3Pm3Nd5, with properties calculated at the PBE level.

Cell lengths 6.119, 9.794, 9.794 Å; angles 120.00, 90.00, 90.00 degrees
Atoms (fractional coordinates):
Nd  0.500  0.333  0.667
Nd  0.500  0.667  0.333
Nd  0.500  0.000  0.367
Nd  0.500  0.633  0.633
Nd  0.500  0.367  0.000
Ac  0.000  0.000  0.573
Ac  0.000  0.573  0.000
Ac  0.000  0.427  0.427
Pm  0.500  0.733  0.000
Pm  0.500  0.000  0.733
Pm  0.500  0.267  0.267

Computed properties:
* SG: P-62m (189)
* formation enthalpy at 0 K: 62.8 kJ per mole of atoms
* raw total energy: -43.251 eV/f.u.
* spin magnetization: 0.00 μB per atom
* DOS(E_F): 22.107 states/eV per cell